## LaPmEu2 (GGA-PBE)

Data for a relaxed LaPmEu2 crystal.

Computed properties:
DFT formation energy: 70.5 meV/atom
Mass density: 6.443 g cm⁻³
Magnetization: 45.5 μB per cell
D(E_F): 1.39 states/eV/atom

CIF file:
```
data_LaPmEu2
_cell_length_a 3.7495
_cell_length_b 3.7495
_cell_length_c 37.3311
_cell_angle_alpha 90.00
_cell_angle_beta 90.00
_cell_angle_gamma 120.00
_symmetry_space_group_name_H-M 'R -3 m'
_symmetry_Int_Tables_number 166
_symmetry_space_group_name_Hall '-R 3 2"'
loop_
_atom_site_label
_atom_site_fract_x
_atom_site_fract_y
_atom_site_fract_z
La1 0.0000 0.0000 0.0000
Pm1 0.0000 0.0000 0.5000
Eu1 0.0000 0.0000 0.2490
```

## LaPmEu2 (GGA-PBE)

Data for a relaxed LaPmEu2 crystal.

Computed properties:
DFT formation energy: 124.1 meV/atom
Mass density: 6.405 g cm⁻³
Magnetization: 59.7 μB per cell
D(E_F): 1.27 states/eV/atom

CIF file:
```
data_LaPmEu2
_cell_length_a 8.479
_cell_length_b 8.479
_cell_length_c 8.479
_cell_angle_alpha 90.00
_cell_angle_beta 90.00
_cell_angle_gamma 90.00
_symmetry_space_group_name_H-M 'F m -3 m'
_symmetry_Int_Tables_number 225
_symmetry_space_group_name_Hall '-F 4 2 3'
loop_
_atom_site_label
_atom_site_fract_x
_atom_site_fract_y
_atom_site_fract_z
La1 0.000 0.000 0.000
Pm1 0.000 0.000 0.500
Eu1 0.250 0.250 0.250
```

Results for excess energy over the best structure of this formula in the dataset: 0.000; 0.054 (in eV/atom, following the order of the records).